1.
## PmOF (GGA-PBE)

Data for crystalline PmOF at its relaxed geometry.

```
PmOF
1.0
0.000 4.500 5.492
3.753 0.000 5.492
3.753 4.500 0.000
Pm O F
4 4 4
Direct
0.075 0.675 0.075
0.325 0.925 0.325
0.675 0.075 0.675
0.925 0.325 0.925
0.007 0.007 0.743
0.257 0.257 0.993
0.743 0.743 0.007
0.993 0.993 0.257
0.000 0.500 0.500
0.500 0.000 0.500
0.500 0.500 0.000
0.500 0.500 0.500
```

---

2.
## PmOF (GGA-PBE)

Data for crystalline PmOF at its relaxed geometry.

```
PmOF
1.0
3.928 0.000 0.000
0.000 3.928 0.000
0.000 0.000 5.594
Pm O F
2 2 2
Direct
0.250 0.250 0.215
0.750 0.750 0.785
0.250 0.750 0.000
0.750 0.250 0.000
0.250 0.750 0.500
0.750 0.250 0.500
```

---

3.
## PmPrO2F2 (GGA-PBE)

Data for crystalline PmPrO2F2 at its relaxed geometry.

```
PmPrO2F2
1.0
3.892 0.000 0.000
0.000 3.892 0.000
0.000 0.000 5.783
Pm Pr O F
1 1 2 2
Direct
0.000 0.000 0.000
0.500 0.500 0.417
0.000 0.500 0.203
0.500 0.000 0.203
0.000 0.000 0.596
0.500 0.500 0.825
```

---

4.
## Pr4Se3O10F6 (GGA-PBE)

Data for crystalline Pr4Se3O10F6 at its relaxed geometry.

```
Pr4Se3O10F6
1.0
10.974 -3.524 0.000
10.974 3.524 0.000
-1.210 0.000 8.202
Pr Se O F
8 6 20 12
Direct
0.045 0.212 0.032
0.212 0.045 0.532
0.216 0.363 0.328
0.363 0.216 0.828
0.637 0.784 0.172
0.784 0.637 0.672
0.788 0.955 0.468
0.955 0.788 0.968
0.116 0.884 0.250
0.338 0.487 0.633
0.487 0.338 0.133
0.513 0.662 0.867
0.662 0.513 0.367
0.884 0.116 0.750
0.041 0.084 0.250
0.084 0.041 0.750
0.140 0.612 0.492
0.220 0.747 0.076
0.250 0.466 0.102
0.252 0.526 0.813
0.253 0.780 0.424
0.388 0.860 0.008
0.466 0.250 0.602
0.474 0.748 0.687
0.526 0.252 0.313
0.534 0.750 0.398
0.612 0.140 0.992
0.747 0.220 0.576
0.748 0.474 0.187
0.750 0.534 0.898
0.780 0.253 0.924
0.860 0.388 0.508
0.916 0.959 0.250
0.959 0.916 0.750
0.023 0.532 0.869
0.144 0.348 0.579
0.145 0.215 0.798
0.215 0.145 0.298
0.348 0.144 0.079
0.468 0.977 0.631
0.532 0.023 0.369
0.652 0.856 0.921
0.785 0.855 0.702
0.855 0.785 0.202
0.856 0.652 0.421
0.977 0.468 0.131
```

---

Number 1: magnetization 0.0 μB/f.u., energy -7.577 eV/atom. Number 2: magnetization 0.0 μB/f.u., energy -7.660 eV/atom. Number 3: magnetization 0.0 μB/f.u., energy -7.544 eV/atom. Number 4: magnetization 0.0 μB/f.u., energy -6.479 eV/atom.